Material: PrTa2N4
Method: DFT, PBE
State: relaxed

a b c (Å): 5.417 5.417 10.554
angles (deg): 90.00 90.00 145.70
Sites, in units of the cell vectors:
Pr  0.117  0.883  0.750
Pr  0.883  0.117  0.250
Ta  0.371  0.629  0.565
Ta  0.371  0.629  0.935
Ta  0.629  0.371  0.065
Ta  0.629  0.371  0.435
N  0.000  0.000  0.000
N  0.000  0.000  0.500
N  0.264  0.736  0.107
N  0.264  0.736  0.393
N  0.430  0.570  0.750
N  0.570  0.430  0.250
N  0.736  0.264  0.607
N  0.736  0.264  0.893

Results
Total moment: 0.00 Bohr magnetons per cell
Uncorrected formation energy: -1.234 eV/atom